First-principles (GGA-PBE) data for a geometry-optimized TlTe2Pd structure, as listed in Alexandria.

Computed properties:
* total magnetization: 0.00 μB per formula unit
* E: -3.25 eV/atom
* offset from the most stable computed form: 480 meV per atom
* raw formation energy: 20 kJ per mole of atoms

Geometry as POSCAR:
```
TlTe2Pd
1.0
4.811 -1.004 -1.781
1.701 -4.935 -0.295
0.639 -2.270 -4.666
Tl Te Pd
1 2 1
Direct
0.500 0.500 0.500
0.250 0.250 0.250
0.750 0.750 0.750
0.000 0.000 0.000
```